# 1
# HfMgSbI2 PBEsol relaxed
# Formation energy from raw total energies = 0.533 eV per atom
# M_tot = 0.8 μB/cell
# DFT total energy = -3.53 eV/atom
data_HfMgSbI2
_chemical_formula_sum 'Hf1 Mg1 Sb1 I2'
_space_group_name_H-M_alt 'P 1'
_space_group_IT_number 1
_cell_length_a 5.270
_cell_length_b 5.270
_cell_length_c 5.601
_cell_angle_alpha 90.00
_cell_angle_beta 90.00
_cell_angle_gamma 90.00
loop_
_space_group_symop_operation_xyz
'x,y,z'
loop_
_atom_site_label
_atom_site_type_symbol
_atom_site_fract_x
_atom_site_fract_y
_atom_site_fract_z
Hf1 Hf 0.000 0.000 0.000
Mg1 Mg 0.500 0.500 0.500
Sb1 Sb 0.500 0.500 0.000
I1 I 0.000 0.500 0.500
I2 I 0.500 0.000 0.500



# 2
# HfMn3I PBEsol relaxed
# Formation energy from raw total energies = 1.409 eV per atom
# M_tot = 6.8 μB/cell
# DFT total energy = -6.90 eV/atom
data_HfMn3I
_chemical_formula_sum 'Hf1 Mn3 I1'
_space_group_name_H-M_alt 'P 1'
_space_group_IT_number 1
_cell_length_a 4.603
_cell_length_b 4.603
_cell_length_c 4.603
_cell_angle_alpha 90.00
_cell_angle_beta 90.00
_cell_angle_gamma 90.00
loop_
_space_group_symop_operation_xyz
'x,y,z'
loop_
_atom_site_label
_atom_site_type_symbol
_atom_site_fract_x
_atom_site_fract_y
_atom_site_fract_z
Hf1 Hf 0.000 0.000 0.000
Mn1 Mn 0.000 0.500 0.500
Mn2 Mn 0.500 0.000 0.500
Mn3 Mn 0.500 0.500 0.000
I1 I 0.500 0.500 0.500



What did the first record say?
# HfMgSbI2 PBEsol relaxed
# Formation energy from raw total energies = 0.533 eV per atom
# M_tot = 0.8 μB/cell
# DFT total energy = -3.53 eV/atom
data_HfMgSbI2
_chemical_formula_sum 'Hf1 Mg1 Sb1 I2'
_space_group_name_H-M_alt 'P 1'
_space_group_IT_number 1
_cell_length_a 5.270
_cell_length_b 5.270
_cell_length_c 5.601
_cell_angle_alpha 90.00
_cell_angle_beta 90.00
_cell_angle_gamma 90.00
loop_
_space_group_symop_operation_xyz
'x,y,z'
loop_
_atom_site_label
_atom_site_type_symbol
_atom_site_fract_x
_atom_site_fract_y
_atom_site_fract_z
Hf1 Hf 0.000 0.000 0.000
Mg1 Mg 0.500 0.500 0.500
Sb1 Sb 0.500 0.500 0.000
I1 I 0.000 0.500 0.500
I2 I 0.500 0.000 0.500